(1)
Entry from Alexandria: PmSm6Ho3Th2 after structural relaxation (PBE-GGA).

POSCAR file:
```
PmSm6Ho3Th2
1.0
-3.8476 -1.3253 -4.7164
-1.8445 -0.9432 5.8748
-2.3782 11.6969 0.0277
Ho Sm Pm Th
3 6 1 2
direct
0.8334 0.1666 0.5000 Ho
0.5000 0.5000 0.5000 Ho
0.1666 0.8334 0.5000 Ho
0.9163 0.5786 0.7508 Sm
0.0837 0.4214 0.2492 Sm
0.4214 0.0837 0.2492 Sm
0.5786 0.9163 0.7508 Sm
0.2541 0.2541 0.7505 Sm
0.7459 0.7459 0.2495 Sm
0.0000 0.0000 0.0000 Pm
0.3334 0.6666 0.0000 Th
0.6666 0.3334 0.0000 Th
```

Values from the calculation:
Energy of formation in meV per atom: 38.7

=====

(2)
Entry from Alexandria: Pm6SmHo3Th2 after structural relaxation (PBE-GGA).

POSCAR file:
```
Pm6SmHo3Th2
1.0
6.2439 0.0030 0.0025
-3.1178 5.4098 0.0025
-1.0467 -1.8123 11.7843
Pm Th Ho Sm
6 2 3 1
direct
0.9168 0.5793 0.7510 Pm
0.2543 0.2543 0.7506 Pm
0.0832 0.4207 0.2490 Pm
0.7457 0.7457 0.2494 Pm
0.4207 0.0832 0.2490 Pm
0.5793 0.9168 0.7510 Pm
0.3334 0.6666 0.0000 Th
0.6666 0.3334 0.0000 Th
0.8333 0.1667 0.5000 Ho
0.5000 0.5000 0.5000 Ho
0.1667 0.8333 0.5000 Ho
0.0000 0.0000 0.0000 Sm
```

Values from the calculation:
Energy of formation in meV per atom: 39.9

=====

(3)
Entry from Alexandria: Pm5Sm2HoTh after structural relaxation (PBE-GGA).

POSCAR file:
```
Pm5Sm2HoTh
1.0
-2.0790 -0.9480 5.2067
-0.5711 -9.3907 -5.0425
9.7137 -2.4353 3.4352
Ho Sm Th Pm
2 4 2 10
direct
0.4054 0.8108 0.4583 Ho
0.5946 0.1892 0.9583 Ho
0.8859 0.7718 0.2340 Sm
0.1141 0.2282 0.7340 Sm
0.8848 0.7696 0.8138 Sm
0.1152 0.2304 0.3138 Sm
0.1985 0.3970 0.0120 Th
0.8015 0.6030 0.5120 Th
0.2755 0.5510 0.3140 Pm
0.9854 0.9708 0.5182 Pm
0.5184 0.0368 0.2440 Pm
0.0146 0.0292 0.0182 Pm
0.4816 0.9632 0.7440 Pm
0.3858 0.7717 0.0250 Pm
0.6142 0.2283 0.5250 Pm
0.2943 0.5886 0.7047 Pm
0.7245 0.4490 0.8140 Pm
0.7057 0.4114 0.2047 Pm
```

Values from the calculation:
Energy of formation in meV per atom: 150.4

=====

(4)
Entry from Alexandria: PmSm6Ho2Th after structural relaxation (PBE-GGA).

POSCAR file:
```
PmSm6Ho2Th
1.0
9.2112 -2.0753 -2.1537
0.8561 8.5775 -1.8863
0.8561 -2.2029 8.5017
Sm Ho Pm Th
12 4 2 2
direct
0.6843 0.0161 0.5752 Sm
0.8817 0.2971 0.5145 Sm
0.1183 0.7029 0.4855 Sm
0.9414 0.8903 0.2405 Sm
0.4414 0.2405 0.8903 Sm
0.6183 0.4855 0.7029 Sm
0.5586 0.7595 0.1097 Sm
0.3817 0.5145 0.2971 Sm
0.1843 0.5752 0.0161 Sm
0.8157 0.4248 0.9839 Sm
0.3157 0.9839 0.4248 Sm
0.0586 0.1097 0.7595 Sm
0.5512 0.1982 0.2907 Ho
0.9488 0.7093 0.8018 Ho
0.4488 0.8018 0.7093 Ho
0.0512 0.2907 0.1982 Ho
0.7500 0.5942 0.4058 Pm
0.2500 0.4058 0.5942 Pm
0.2500 0.9690 0.0310 Th
0.7500 0.0310 0.9690 Th
```

Values from the calculation:
Energy of formation in meV per atom: 146.5

=====

(5)
Entry from Alexandria: PmSm2Ho4Th after structural relaxation (PBE-GGA).

POSCAR file:
```
PmSm2Ho4Th
1.0
-1.0226 0.5774 4.9549
3.3896 -3.6045 1.1196
10.5374 3.3338 1.7863
Ho Th Sm Pm
4 1 2 1
direct
0.5000 0.7455 0.2544 Ho
0.0000 0.7539 0.7459 Ho
0.0000 0.2461 0.2541 Ho
0.5000 0.2545 0.7456 Ho
0.0000 0.5000 0.5000 Th
0.0000 0.0000 0.0000 Sm
0.5000 0.0000 0.5000 Sm
0.5000 0.5000 0.0000 Pm
```

Values from the calculation:
Energy of formation in meV per atom: 28.5

=====

(6)
Entry from Alexandria: PmSm2Ho2Th2 after structural relaxation (PBE-GGA).

POSCAR file:
```
PmSm2Ho2Th2
1.0
3.4543 0.0000 0.0000
-1.7271 5.6494 1.0078
0.0000 0.0496 11.9408
Pm Th Sm Ho
1 2 2 2
direct
0.0000 0.0000 0.5000 Pm
0.2924 0.5849 0.3643 Th
0.7076 0.4151 0.6357 Th
0.6498 0.2996 0.9245 Sm
0.3502 0.7004 0.0755 Sm
0.5931 0.1862 0.2254 Ho
0.4069 0.8138 0.7746 Ho
```

Values from the calculation:
Energy of formation in meV per atom: 174.7

=====

(7)
Entry from Alexandria: Pm2SmHoTh after structural relaxation (PBE-GGA).

POSCAR file:
```
Pm2SmHoTh
1.0
6.4181 0.0000 0.0000
0.0000 8.5474 1.0036
0.0000 -1.5057 6.2085
Sm Pm Ho Th
2 4 2 2
direct
0.0000 0.0000 0.5000 Sm
0.0000 0.0000 0.0000 Sm
0.3047 0.3136 0.2107 Pm
0.6953 0.3136 0.7107 Pm
0.3047 0.6864 0.2893 Pm
0.6953 0.6864 0.7893 Pm
0.8229 0.5000 0.2500 Ho
0.1771 0.5000 0.7500 Ho
0.5487 0.0000 0.2500 Th
0.4513 0.0000 0.7500 Th
```

Values from the calculation:
Energy of formation in meV per atom: 311.9

=====

(8)
Entry from Alexandria: PmSm2HoTh after structural relaxation (PBE-GGA).

POSCAR file:
```
PmSm2HoTh
1.0
6.4305 0.0000 0.0000
0.0000 8.5429 0.9747
0.0000 -1.5399 6.1862
Ho Sm Pm Th
2 4 2 2
direct
0.1747 0.5000 0.7500 Ho
0.8253 0.5000 0.2500 Ho
0.6920 0.6858 0.7914 Sm
0.3080 0.3142 0.2086 Sm
0.6920 0.3142 0.7086 Sm
0.3080 0.6858 0.2914 Sm
0.0000 0.0000 0.5000 Pm
0.0000 0.0000 0.0000 Pm
0.4508 0.0000 0.7500 Th
0.5492 0.0000 0.2500 Th
```

Values from the calculation:
Energy of formation in meV per atom: 315.6